{"formula": "LaPr8", "functional": "GGA-PBE", "state": "optimized geometry", "lattice": [[-5.581, 5.581, 2.634], [5.581, -5.581, 2.634], [5.581, 5.581, -2.634]], "species": ["La", "Pr", "Pr", "Pr", "Pr", "Pr", "Pr", "Pr", "Pr"], "fractional_positions": [[0.000, 0.000, 0.000], [0.000, 0.334, 0.334], [0.000, 0.666, 0.666], [0.333, 0.333, 0.666], [0.333, 0.667, 0.000], [0.334, 0.000, 0.334], [0.666, 0.000, 0.666], [0.667, 0.333, 0.000], [0.667, 0.667, 0.334]], "formation_enthalpy_0k_kj_per_mol_atoms": 1, "e_tot_ev_per_atom": -4.7840, "vol_a3_per_atom": 36.465}



{"formula": "La3Pr", "functional": "GGA-PBE", "state": "optimized geometry", "lattice": [[-1.875, 6.086, 3.254], [1.875, -6.086, 3.254], [1.875, 6.086, -3.254]], "species": ["La", "La", "La", "Pr"], "fractional_positions": [[0.000, 0.000, 0.000], [0.421, 0.671, 0.750], [0.921, 0.671, 0.250], [0.499, 0.999, 0.500]], "formation_enthalpy_0k_kj_per_mol_atoms": 3, "e_tot_ev_per_atom": -4.8596, "vol_a3_per_atom": 37.133}



{"formula": "La2Pr", "functional": "GGA-PBE", "state": "optimized geometry", "lattice": [[0.000, 4.804, 4.804], [4.804, 0.000, 4.804], [4.804, 4.804, 0.000]], "species": ["La", "La", "La", "La", "Pr", "Pr"], "fractional_positions": [[0.000, 0.000, 0.000], [0.000, 0.000, 0.500], [0.000, 0.500, 0.000], [0.500, 0.000, 0.000], [0.375, 0.375, 0.375], [0.625, 0.625, 0.625]], "formation_enthalpy_0k_kj_per_mol_atoms": 19, "e_above_lowest_polymorph_ev_per_atom": 0.187, "e_tot_ev_per_atom": -4.6819, "vol_a3_per_atom": 36.955}



{"formula": "La2Pr", "functional": "GGA-PBE", "state": "optimized geometry", "lattice": [[3.119, -3.120, 0.000], [3.119, 3.120, 0.000], [-3.107, 0.000, 5.609]], "species": ["La", "La", "Pr"], "fractional_positions": [[0.163, 0.163, 0.326], [0.837, 0.837, 0.674], [0.500, 0.500, 0.000]], "formation_enthalpy_0k_kj_per_mol_atoms": 9, "e_above_lowest_polymorph_ev_per_atom": 0.083, "e_tot_ev_per_atom": -4.7859, "vol_a3_per_atom": 36.392}



{"formula": "La5Pr6", "functional": "GGA-PBE", "state": "optimized geometry", "lattice": [[2.947, -8.446, 0.000], [2.947, 8.446, 0.000], [0.000, 0.000, 8.240]], "species": ["La", "La", "La", "La", "La", "Pr", "Pr", "Pr", "Pr", "Pr", "Pr"], "fractional_positions": [[0.000, 0.000, 0.000], [0.311, 0.689, 0.500], [0.332, 0.668, 0.000], [0.668, 0.332, 0.000], [0.689, 0.311, 0.500], [0.133, 0.866, 0.714], [0.134, 0.867, 0.286], [0.499, 0.499, 0.717], [0.501, 0.501, 0.283], [0.866, 0.133, 0.714], [0.867, 0.134, 0.286]], "formation_enthalpy_0k_kj_per_mol_atoms": 11, "e_above_lowest_polymorph_ev_per_atom": 0.024, "e_tot_ev_per_atom": -4.7328, "vol_a3_per_atom": 37.295}



{"formula": "La6Pr7", "functional": "GGA-PBE", "state": "optimized geometry", "lattice": [[3.417, 1.973, 11.806], [-3.417, 1.973, 11.806], [0.000, -3.946, 11.806]], "species": ["La", "La", "La", "La", "La", "La", "Pr", "Pr", "Pr", "Pr", "Pr", "Pr", "Pr"], "fractional_positions": [[0.047, 0.047, 0.047], [0.150, 0.150, 0.150], [0.337, 0.337, 0.337], [0.663, 0.663, 0.663], [0.850, 0.850, 0.850], [0.953, 0.953, 0.953], [0.075, 0.592, 0.592], [0.408, 0.408, 0.925], [0.408, 0.925, 0.408], [0.500, 0.500, 0.500], [0.592, 0.075, 0.592], [0.592, 0.592, 0.075], [0.925, 0.408, 0.408]], "formation_enthalpy_0k_kj_per_mol_atoms": 18, "e_tot_ev_per_atom": -4.6584, "vol_a3_per_atom": 36.742}



{"formula": "La7Pr", "functional": "GGA-PBE", "state": "optimized geometry", "lattice": [[0.000, 5.285, 5.285], [5.285, 0.000, 5.285], [5.285, 5.285, 0.000]], "species": ["La", "La", "La", "La", "La", "La", "La", "Pr"], "fractional_positions": [[0.000, 0.000, 0.000], [0.000, 0.000, 0.500], [0.000, 0.500, 0.000], [0.000, 0.500, 0.500], [0.500, 0.000, 0.000], [0.500, 0.000, 0.500], [0.500, 0.500, 0.000], [0.500, 0.500, 0.500]], "formation_enthalpy_0k_kj_per_mol_atoms": 1, "e_tot_ev_per_atom": -4.8981, "vol_a3_per_atom": 36.901}



{"formula": "La5Pr4", "functional": "GGA-PBE", "state": "optimized geometry", "lattice": [[5.888, -7.908, 0.000], [5.888, 7.908, 0.000], [-1.173, 0.000, 3.536]], "species": ["La", "La", "La", "La", "La", "Pr", "Pr", "Pr", "Pr"], "fractional_positions": [[0.000, 0.000, 0.000], [0.334, 0.334, 0.334], [0.334, 0.666, 0.000], [0.666, 0.334, 0.000], [0.666, 0.666, 0.666], [0.000, 0.334, 0.667], [0.000, 0.666, 0.333], [0.334, 0.000, 0.667], [0.666, 0.000, 0.333]], "formation_enthalpy_0k_kj_per_mol_atoms": 1, "e_above_lowest_polymorph_ev_per_atom": 0.000, "e_tot_ev_per_atom": -4.8494, "vol_a3_per_atom": 36.591}



{"formula": "La5Pr", "functional": "GGA-PBE", "state": "optimized geometry", "lattice": [[2.633, -7.892, 0.000], [2.633, 7.892, 0.000], [0.000, 0.000, 5.260]], "species": ["La", "La", "La", "La", "La", "Pr"], "fractional_positions": [[0.000, 0.000, 0.000], [0.167, 0.833, 0.500], [0.333, 0.667, 0.000], [0.667, 0.333, 0.000], [0.833, 0.167, 0.500], [0.500, 0.500, 0.500]], "formation_enthalpy_0k_kj_per_mol_atoms": 1, "e_tot_ev_per_atom": -4.8966, "vol_a3_per_atom": 36.437}



{"formula": "La5Pr7", "functional": "GGA-PBE", "state": "optimized geometry", "lattice": [[9.751, -1.873, 0.000], [9.751, 1.873, 0.000], [-6.511, 0.000, 12.031]], "species": ["La", "La", "La", "La", "La", "Pr", "Pr", "Pr", "Pr", "Pr", "Pr", "Pr"], "fractional_positions": [[0.000, 0.000, 0.000], [0.167, 0.167, 0.499], [0.307, 0.307, 0.251], [0.693, 0.693, 0.749], [0.833, 0.833, 0.501], [0.027, 0.027, 0.751], [0.333, 0.333, 0.001], [0.360, 0.360, 0.750], [0.500, 0.500, 0.500], [0.640, 0.640, 0.250], [0.667, 0.667, 0.999], [0.973, 0.973, 0.249]], "formation_enthalpy_0k_kj_per_mol_atoms": 0, "e_above_lowest_polymorph_ev_per_atom": 0.000, "e_tot_ev_per_atom": -4.8376, "vol_a3_per_atom": 36.615}



{"formula": "La4Pr5", "functional": "GGA-PBE", "state": "optimized geometry", "lattice": [[-1.907, 6.308, 6.869], [1.907, -6.308, 6.869], [1.907, 6.308, -6.869]], "species": ["La", "La", "La", "La", "Pr", "Pr", "Pr", "Pr", "Pr"], "fractional_positions": [[0.045, 0.188, 0.857], [0.331, 0.188, 0.143], [0.669, 0.812, 0.857], [0.955, 0.812, 0.143], [0.000, 0.500, 0.500], [0.294, 0.500, 0.794], [0.373, 0.873, 0.500], [0.627, 0.127, 0.500], [0.706, 0.500, 0.206]], "formation_enthalpy_0k_kj_per_mol_atoms": 3, "e_above_lowest_polymorph_ev_per_atom": 0.017, "e_tot_ev_per_atom": -4.8158, "vol_a3_per_atom": 36.720}



{"formula": "La5Pr4", "functional": "GGA-PBE", "state": "optimized geometry", "lattice": [[-6.612, 6.612, 1.873], [6.612, -6.612, 1.873], [6.612, 6.612, -1.873]], "species": ["La", "La", "La", "La", "La", "Pr", "Pr", "Pr", "Pr"], "fractional_positions": [[0.000, 0.000, 0.000], [0.333, 0.333, 0.667], [0.333, 0.667, 0.000], [0.667, 0.333, 0.000], [0.667, 0.667, 0.333], [0.000, 0.335, 0.335], [0.000, 0.665, 0.665], [0.335, 0.000, 0.335], [0.665, 0.000, 0.665]], "formation_enthalpy_0k_kj_per_mol_atoms": 9, "e_above_lowest_polymorph_ev_per_atom": 0.077, "e_tot_ev_per_atom": -4.7726, "vol_a3_per_atom": 36.394}



{"formula": "La2Pr", "functional": "GGA-PBE", "state": "optimized geometry", "lattice": [[3.722, 0.000, 0.000], [0.000, 3.722, 0.000], [0.000, 0.000, 15.808]], "species": ["La", "La", "La", "La", "Pr", "Pr"], "fractional_positions": [[0.000, 0.000, 0.000], [0.000, 0.000, 0.333], [0.000, 0.000, 0.667], [0.500, 0.500, 0.500], [0.500, 0.500, 0.166], [0.500, 0.500, 0.834]], "formation_enthalpy_0k_kj_per_mol_atoms": 1, "e_above_lowest_polymorph_ev_per_atom": 0.000, "e_tot_ev_per_atom": -4.8691, "vol_a3_per_atom": 36.491}



{"formula": "LaPr5", "functional": "GGA-PBE", "state": "optimized geometry", "lattice": [[2.627, -7.907, 0.000], [2.627, 7.907, 0.000], [0.000, 0.000, 5.265]], "species": ["La", "Pr", "Pr", "Pr", "Pr", "Pr"], "fractional_positions": [[0.000, 0.000, 0.000], [0.167, 0.833, 0.500], [0.333, 0.667, 0.000], [0.500, 0.500, 0.500], [0.667, 0.333, 0.000], [0.833, 0.167, 0.500]], "formation_enthalpy_0k_kj_per_mol_atoms": 1, "e_above_lowest_polymorph_ev_per_atom": 0.000, "e_tot_ev_per_atom": -4.7925, "vol_a3_per_atom": 36.454}



{"formula": "La2Pr13", "functional": "GGA-PBE", "state": "optimized geometry", "lattice": [[6.902, 0.000, 0.000], [1.205, 9.221, 0.000], [1.213, 3.521, 8.522]], "species": ["La", "La", "Pr", "Pr", "Pr", "Pr", "Pr", "Pr", "Pr", "Pr", "Pr", "Pr", "Pr", "Pr", "Pr"], "fractional_positions": [[0.100, 0.434, 0.267], [0.900, 0.566, 0.733], [0.000, 0.000, 0.500], [0.099, 0.766, 0.932], [0.203, 0.196, 0.703], [0.298, 0.630, 0.469], [0.299, 0.965, 0.136], [0.402, 0.397, 0.901], [0.500, 0.168, 0.334], [0.500, 0.832, 0.666], [0.598, 0.603, 0.099], [0.701, 0.035, 0.864], [0.702, 0.370, 0.531], [0.797, 0.804, 0.297], [0.901, 0.234, 0.068]], "formation_enthalpy_0k_kj_per_mol_atoms": 5, "e_above_lowest_polymorph_ev_per_atom": 0.000, "e_tot_ev_per_atom": -4.7515, "vol_a3_per_atom": 36.159}



{"formula": "La6Pr5", "functional": "GGA-PBE", "state": "optimized geometry", "lattice": [[6.033, -5.541, 0.000], [6.033, 5.541, 0.000], [-1.177, 0.000, 6.282]], "species": ["La", "La", "La", "La", "La", "La", "Pr", "Pr", "Pr", "Pr", "Pr"], "fractional_positions": [[0.080, 0.410, 0.251], [0.246, 0.246, 0.752], [0.410, 0.080, 0.251], [0.590, 0.920, 0.749], [0.754, 0.754, 0.248], [0.920, 0.590, 0.749], [0.167, 0.833, 0.500], [0.337, 0.663, 0.000], [0.500, 0.500, 0.500], [0.663, 0.337, 0.000], [0.833, 0.167, 0.500]], "formation_enthalpy_0k_kj_per_mol_atoms": 14, "e_above_lowest_polymorph_ev_per_atom": 0.057, "e_tot_ev_per_atom": -4.7105, "vol_a3_per_atom": 38.183}



{"formula": "La6Pr5", "functional": "GGA-PBE", "state": "optimized geometry", "lattice": [[5.145, -8.216, 0.000], [5.145, 8.216, 0.000], [-3.296, 0.000, 4.803]], "species": ["La", "La", "La", "La", "La", "La", "Pr", "Pr", "Pr", "Pr", "Pr"], "fractional_positions": [[0.067, 0.342, 0.205], [0.206, 0.206, 0.707], [0.342, 0.067, 0.205], [0.658, 0.933, 0.795], [0.794, 0.794, 0.293], [0.933, 0.658, 0.795], [0.201, 0.799, 0.500], [0.340, 0.660, 0.000], [0.500, 0.500, 0.500], [0.660, 0.340, 0.000], [0.799, 0.201, 0.500]], "formation_enthalpy_0k_kj_per_mol_atoms": 9, "e_above_lowest_polymorph_ev_per_atom": 0.000, "e_tot_ev_per_atom": -4.7677, "vol_a3_per_atom": 36.914}



{"formula": "La5Pr6", "functional": "GGA-PBE", "state": "optimized geometry", "lattice": [[-2.901, 4.237, 8.272], [2.901, -4.237, 8.272], [2.901, 4.237, -8.272]], "species": ["La", "La", "La", "La", "La", "Pr", "Pr", "Pr", "Pr", "Pr", "Pr"], "fractional_positions": [[0.000, 0.000, 0.000], [0.158, 0.658, 0.500], [0.300, 0.300, 0.000], [0.700, 0.700, 0.000], [0.842, 0.342, 0.500], [0.159, 0.863, 0.295], [0.292, 0.500, 0.792], [0.432, 0.137, 0.295], [0.568, 0.863, 0.705], [0.708, 0.500, 0.208], [0.841, 0.137, 0.705]], "formation_enthalpy_0k_kj_per_mol_atoms": 9, "e_above_lowest_polymorph_ev_per_atom": 0.000, "e_tot_ev_per_atom": -4.7568, "vol_a3_per_atom": 36.972}



{"formula": "La3Pr", "functional": "GGA-PBE", "state": "optimized geometry", "lattice": [[3.752, 0.000, 0.000], [0.000, 6.055, 0.000], [0.000, 0.000, 6.511]], "species": ["La", "La", "La", "Pr"], "fractional_positions": [[0.000, 0.000, 0.000], [0.000, 0.500, 0.331], [0.500, 0.500, 0.831], [0.500, 0.000, 0.502]], "formation_enthalpy_0k_kj_per_mol_atoms": 3, "e_tot_ev_per_atom": -4.8623, "vol_a3_per_atom": 36.978}



{"formula": "La5Pr3", "functional": "GGA-PBE", "state": "optimized geometry", "lattice": [[3.724, 0.000, 0.000], [0.000, 3.724, 0.000], [0.000, 0.000, 21.085]], "species": ["La", "La", "La", "La", "La", "Pr", "Pr", "Pr"], "fractional_positions": [[0.000, 0.000, 0.000], [0.000, 0.000, 0.250], [0.000, 0.000, 0.750], [0.500, 0.500, 0.375], [0.500, 0.500, 0.625], [0.000, 0.000, 0.500], [0.500, 0.500, 0.124], [0.500, 0.500, 0.876]], "formation_enthalpy_0k_kj_per_mol_atoms": 1, "e_above_lowest_polymorph_ev_per_atom": 0.004, "e_tot_ev_per_atom": -4.8597, "vol_a3_per_atom": 36.552}



N(E_F) / states/eV per cell: 16.687, 7.504, 10.535, 6.746, 17.198, 29.681, 16.650, 17.766, 11.315, 18.148, 13.037, 18.103, 10.907, 10.345, 23.487, 19.275, 19.116, 17.317, 6.657, 16.086